Record 1
Compound: La2ReOsW
Source: Alexandria via LeMat-Bulk
Functional: PBE-GGA
Structure: relaxed

Crystal system: tetragonal
N(E_F) in states/eV/f.u.: 5.88
Size of the total moment in Bohr magnetons per cell: 2.8
V in Å³/atom: 28.7
Energy relative to the elements in eV per atom: 1.37

abc: 5.533 4.695 5.533
angles: 90.00 90.00 90.00
Positions (direct):
Re 0.000 0.500 0.000
La 0.500 0.000 0.000
La 0.000 0.000 0.500
Os 0.000 0.000 0.000
W 0.500 0.500 0.500

Record 2
Compound: LaOsRh2
Source: Alexandria via LeMat-Bulk
Functional: PBE-GGA
Structure: relaxed

Crystal system: cubic
N(E_F) in states/eV/f.u.: 7.31
Size of the total moment in Bohr magnetons per cell: 2.0
V in Å³/atom: 18.1
Energy relative to the elements in eV per atom: 0.29
ΔE to the lowest computed polymorph in meV/atom: 271

abc: 4.674 4.674 4.674
angles: 60.00 60.00 60.00
Positions (direct):
La 0.500 0.500 0.500
Os 0.750 0.750 0.750
Rh 0.000 0.000 0.000
Rh 0.250 0.250 0.250

Question: Which value of size of the total moment does entry 2 give?
Answer: 2.0 Bohr magnetons per cell

What did the first record say?
Compound: La2ReOsW
Source: Alexandria via LeMat-Bulk
Functional: PBE-GGA
Structure: relaxed

Crystal system: tetragonal
N(E_F) in states/eV/f.u.: 5.88
Size of the total moment in Bohr magnetons per cell: 2.8
V in Å³/atom: 28.7
Energy relative to the elements in eV per atom: 1.37

abc: 5.533 4.695 5.533
angles: 90.00 90.00 90.00
Positions (direct):
Re 0.000 0.500 0.000
La 0.500 0.000 0.000
La 0.000 0.000 0.500
Os 0.000 0.000 0.000
W 0.500 0.500 0.500